CePm2In: optimized geometry, PBE-GGA.

- Excess energy over the best structure of this formula in the dataset: 0 meV/atom
- ΔE_f: -88 kJ/mol of formula units
- Total moment: 0.73 μB per cell

Cell lengths 4.9850, 4.9850, 4.7491 Å; angles 90.00, 90.00, 90.00 degrees
Last column: nearest neighbours and their distance in Å.
Space group P4/mmm (No. 123)
Symmetry-distinct sites (fractional):
Ce 0.0000 0.0000 0.0000  8 Pm 3.44, 4 In 3.52
Pm 0.0000 0.5000 0.5000  4 In 3.44, 4 Ce 3.44, 4 Pm 3.52
In 0.5000 0.5000 0.0000  8 Pm 3.44, 4 Ce 3.52